La2GaIr2 | PBE | optimized geometry

The structure in CIF format:
```
data_La2GaIr2
_chemical_formula_sum 'La4 Ga2 Ir4'
_symmetry_space_group_name_H-M 'P 4/m b m'
_symmetry_Int_Tables_number 127
_symmetry_space_group_name_Hall '-P 4 2ab'
_cell_length_a 7.507
_cell_length_b 7.507
_cell_length_c 4.067
_cell_angle_alpha 90.00
_cell_angle_beta 90.00
_cell_angle_gamma 90.00
loop_
_atom_site_label
_atom_site_fract_x
_atom_site_fract_y
_atom_site_fract_z
La1 0.175 0.325 0.000
Ga1 0.000 0.000 0.500
Ir1 0.134 0.634 0.500
```

## Properties
E_form ... -0.627 eV per atom
Uncorrected energy ... -6.748 eV/atom
Crystal system ... tetragonal

---

La4GaIr | PBE | optimized geometry

The structure in CIF format:
```
data_La4GaIr
_chemical_formula_sum 'La16 Ga4 Ir4'
_symmetry_space_group_name_H-M 'C 1 2/c 1'
_symmetry_Int_Tables_number 15
_cell_length_a 9.030
_cell_length_b 14.159
_cell_length_c 6.242
_cell_angle_alpha 90.00
_cell_angle_beta 117.19
_cell_angle_gamma 90.00
loop_
_symmetry_equiv_pos_as_xyz
'x,y,z'
'-x,-y,-z'
'-x,y,-z+1/2'
'x,-y,z+1/2'
'x+1/2,y+1/2,z'
'-x+1/2,-y+1/2,-z'
'-x+1/2,y+1/2,-z+1/2'
'x+1/2,-y+1/2,z+1/2'
loop_
_atom_site_label
_atom_site_fract_x
_atom_site_fract_y
_atom_site_fract_z
La1 0.121 0.185 0.080
La2 0.215 0.430 0.324
Ga1 0.000 0.377 0.750
Ir1 0.000 0.001 0.250
```

## Properties
Polymorph energy (0 for the lowest one) ... 0 meV per atom
E_form ... -0.486 eV per atom
Uncorrected energy ... -5.753 eV/atom
Crystal system ... monoclinic

---

La2Ga4Ir | PBE | optimized geometry

The structure in CIF format:
```
data_La2Ga4Ir
_chemical_formula_sum 'La4 Ga8 Ir2'
_symmetry_space_group_name_H-M 'I 4/m m m'
_symmetry_Int_Tables_number 139
_symmetry_space_group_name_Hall '-I 4 2'
_cell_length_a 4.709
_cell_length_b 4.709
_cell_length_c 15.714
_cell_angle_alpha 90.00
_cell_angle_beta 90.00
_cell_angle_gamma 90.00
loop_
_atom_site_label
_atom_site_fract_x
_atom_site_fract_y
_atom_site_fract_z
La1 0.000 0.000 0.146
Ga1 0.000 0.000 0.338
Ga2 0.000 0.500 0.000
Ir1 0.000 0.000 0.500
```

## Properties
E_form ... -0.468 eV per atom
Uncorrected energy ... -4.872 eV/atom
Crystal system ... tetragonal

---

LaGa3Ir2 | PBE | optimized geometry

The structure in CIF format:
```
data_LaGa3Ir2
_chemical_formula_sum 'La6 Ga18 Ir12'
_symmetry_space_group_name_H-M 'R -3 m'
_symmetry_Int_Tables_number 166
_symmetry_space_group_name_Hall '-R 3 2"'
_cell_length_a 5.8902
_cell_length_b 5.8902
_cell_length_c 22.9260
_cell_angle_alpha 90.00
_cell_angle_beta 90.00
_cell_angle_gamma 120.00
loop_
_atom_site_label
_atom_site_fract_x
_atom_site_fract_y
_atom_site_fract_z
La1 0.0000 0.0000 0.2080
Ga1 0.0079 0.5040 0.2476
Ir1 0.0000 0.0000 0.0000
Ir2 0.0000 0.5000 0.0000
```

## Properties
E_form ... -0.404 eV per atom
Uncorrected energy ... -5.693 eV/atom
Crystal system ... trigonal

---

La3GaIr2 | PBE | optimized geometry

The structure in CIF format:
```
data_La3GaIr2
_chemical_formula_sum 'La12 Ga4 Ir8'
_symmetry_space_group_name_H-M 'P n m a'
_symmetry_Int_Tables_number 62
_cell_length_a 12.487
_cell_length_b 4.032
_cell_length_c 12.428
_cell_angle_alpha 90.00
_cell_angle_beta 90.00
_cell_angle_gamma 90.00
loop_
_symmetry_equiv_pos_as_xyz
'x,y,z'
'-x,-y,-z'
'-x+1/2,-y,z+1/2'
'x+1/2,y,-z+1/2'
'x+1/2,-y+1/2,-z+1/2'
'-x+1/2,y+1/2,z+1/2'
'-x,y+1/2,-z'
'x,-y+1/2,z'
loop_
_atom_site_label
_atom_site_fract_x
_atom_site_fract_y
_atom_site_fract_z
La1 0.067 0.250 0.126
La2 0.125 0.750 0.575
La3 0.194 0.250 0.828
Ga1 0.122 0.250 0.373
Ir1 0.013 0.750 0.306
Ir2 0.195 0.750 0.990
```

## Properties
E_form ... -0.684 eV per atom
Uncorrected energy ... -6.606 eV/atom
Crystal system ... orthorhombic

---

LiLa2Ga3Ir4 | PBE | optimized geometry

The structure in CIF format:
```
data_LiLa2Ga3Ir4
_chemical_formula_sum 'Li1 La2 Ga3 Ir4'
_symmetry_space_group_name_H-M 'P -4 m 2'
_symmetry_Int_Tables_number 115
_cell_length_a 4.216
_cell_length_b 4.216
_cell_length_c 10.678
_cell_angle_alpha 90.00
_cell_angle_beta 90.00
_cell_angle_gamma 90.00
loop_
_symmetry_equiv_pos_as_xyz
'x,y,z'
'y,-x,-z'
'-x,-y,z'
'-y,x,-z'
'-x,y,z'
'-y,-x,-z'
'x,-y,z'
'y,x,-z'
loop_
_atom_site_label
_atom_site_fract_x
_atom_site_fract_y
_atom_site_fract_z
Li1 0.000 0.000 0.000
La1 0.000 0.500 0.750
Ga1 0.000 0.500 0.376
Ga2 0.500 0.500 0.000
Ir1 0.000 0.000 0.500
Ir2 0.000 0.500 0.141
Ir3 0.500 0.500 0.500
```

## Properties
E_form ... -0.665 eV per atom
Uncorrected energy ... -6.294 eV/atom
Crystal system ... tetragonal

---

Among the records above, which one has the highest E_form? LaGa3Ir2

---

Please write out number 3 again, unchanged.
La2Ga4Ir | PBE | optimized geometry

The structure in CIF format:
```
data_La2Ga4Ir
_chemical_formula_sum 'La4 Ga8 Ir2'
_symmetry_space_group_name_H-M 'I 4/m m m'
_symmetry_Int_Tables_number 139
_symmetry_space_group_name_Hall '-I 4 2'
_cell_length_a 4.709
_cell_length_b 4.709
_cell_length_c 15.714
_cell_angle_alpha 90.00
_cell_angle_beta 90.00
_cell_angle_gamma 90.00
loop_
_atom_site_label
_atom_site_fract_x
_atom_site_fract_y
_atom_site_fract_z
La1 0.000 0.000 0.146
Ga1 0.000 0.000 0.338
Ga2 0.000 0.500 0.000
Ir1 0.000 0.000 0.500
```

## Properties
E_form ... -0.468 eV per atom
Uncorrected energy ... -4.872 eV/atom
Crystal system ... tetragonal

---

Look up the E_form of the fourth one. -0.404 eV per atom

---

Which of these has the highest E_form? LaGa3Ir2